P) HOsRh3 after structural relaxation. Source: the Alexandria database, functional PBE.

The space group is Pm-3m (No. 221) and the conventional cell measures 4.7174, 4.7174 and 4.7174 Å, with angles of 90.00, 90.00 and 90.00 degrees. The inequivalent atoms are H at (0.0000, 0.0000, 0.0000), Os at (0.5000, 0.5000, 0.5000) and Rh at (0.0000, 0.5000, 0.5000).


Q) HOsRh3 after structural relaxation. Source: the Alexandria database, functional PBE.

The space group is Pm-3m (No. 221) and the conventional cell measures 3.8970, 3.8970 and 3.8970 Å, with angles of 90.00, 90.00 and 90.00 degrees. The inequivalent atoms are H at (0.0000, 0.0000, 0.0000), Os at (0.5000, 0.5000, 0.5000) and Rh at (0.0000, 0.0000, 0.5000).


Quick one: least stable of them? P)


P) HOsRuRh2 after structural relaxation. Source: the Alexandria database, functional PBE.

The space group is P4/mmm (No. 123) and the conventional cell measures 3.8656, 3.8656 and 3.9367 Å, with angles of 90.00, 90.00 and 90.00 degrees. The inequivalent atoms are H at (0.0000, 0.0000, 0.0000), Os at (0.5000, 0.5000, 0.5000), Ru at (0.0000, 0.0000, 0.5000) and Rh at (0.0000, 0.5000, 0.0000).


Q) HOsRuRh2 after structural relaxation. Source: the Alexandria database, functional PBE.

The space group is P4/mmm (No. 123) and the conventional cell measures 3.8645, 3.8645 and 3.9496 Å, with angles of 90.00, 90.00 and 90.00 degrees. The inequivalent atoms are H at (0.0000, 0.0000, 0.0000), Os at (0.0000, 0.0000, 0.5000), Ru at (0.5000, 0.5000, 0.5000) and Rh at (0.0000, 0.5000, 0.0000).


Quick one: least stable of them? Q)


P) TaHOsRh2 after structural relaxation. Source: the Alexandria database, functional PBE.

The space group is P4/mmm (No. 123) and the conventional cell measures 3.9178, 3.9178 and 4.0247 Å, with angles of 90.00, 90.00 and 90.00 degrees. The inequivalent atoms are Ta at (0.0000, 0.0000, 0.0000), H at (0.5000, 0.5000, 0.5000), Os at (0.5000, 0.5000, 0.0000) and Rh at (0.0000, 0.5000, 0.5000).


Q) TaHOsRh2 after structural relaxation. Source: the Alexandria database, functional PBE.

The space group is P4/mmm (No. 123) and the conventional cell measures 3.8703, 3.8703 and 4.1350 Å, with angles of 90.00, 90.00 and 90.00 degrees. The inequivalent atoms are Ta at (0.0000, 0.0000, 0.0000), H at (0.0000, 0.0000, 0.5000), Os at (0.5000, 0.5000, 0.0000) and Rh at (0.0000, 0.5000, 0.5000).


Quick one: least stable of them? Q)


P) Tc2HOsRh after structural relaxation. Source: the Alexandria database, functional PBE.

The space group is P4/mmm (No. 123) and the conventional cell measures 3.9131, 3.9131 and 3.8828 Å, with angles of 90.00, 90.00 and 90.00 degrees. The inequivalent atoms are Tc at (0.0000, 0.5000, 0.0000), H at (0.0000, 0.0000, 0.0000), Os at (0.5000, 0.5000, 0.5000) and Rh at (0.0000, 0.0000, 0.5000).


Q) Tc2HOsRh after structural relaxation. Source: the Alexandria database, functional PBE.

The space group is P4/mmm (No. 123) and the conventional cell measures 3.9079, 3.9079 and 3.8998 Å, with angles of 90.00, 90.00 and 90.00 degrees. The inequivalent atoms are Tc at (0.0000, 0.5000, 0.0000), H at (0.0000, 0.0000, 0.0000), Os at (0.0000, 0.0000, 0.5000) and Rh at (0.5000, 0.5000, 0.5000).


Quick one: least stable of them? Q)